Below is a relaxed Rb2YBO4 crystal, with properties calculated at the PBE level.

Computed properties:
Total magnetization ... 0.000 μB per atom
E_form (uncorrected) ... -16.51 eV/f.u.

Unit cell a=5.1038 b=6.3841 c=11.9738 alpha=85.11 beta=77.69 gamma=66.44
Positions (direct):
Rb 0.1803 0.0000 0.6393
Rb 0.8197 0.0000 0.3607
Rb 0.5697 0.5000 0.8607
Rb 0.9303 0.5000 0.1393
Y 0.7500 0.5000 0.5000
Y 0.0000 0.0000 0.0000
B 0.2500 0.5000 0.5000
B 0.5000 0.0000 0.0000
O 0.3724 0.8429 0.0752
O 0.2905 0.1571 0.9248
O 0.7847 0.8429 0.9248
O 0.5524 0.1571 0.0752
O 0.3776 0.6571 0.4248
O 0.4595 0.3429 0.5752
O 0.9653 0.6571 0.5752
O 0.1976 0.3429 0.4248